BePbCl: relaxed, PBE.

Structure (CIF):
```
data_BePbCl
_space_group_name_H-M_alt 'P 1'
_space_group_IT_number 1
_cell_length_a 4.966
_cell_length_b 4.966
_cell_length_c 4.966
_cell_angle_alpha 60.00
_cell_angle_beta 60.00
_cell_angle_gamma 60.00
loop_
_space_group_symop_operation_xyz
'x,y,z'
loop_
_atom_site_label
_atom_site_type_symbol
_atom_site_fract_x
_atom_site_fract_y
_atom_site_fract_z
_atom_site_occupancy
Pb1 Pb 0.000 0.000 0.000 1
Be1 Be 0.500 0.500 0.500 1
Cl1 Cl 0.750 0.750 0.750 1
```

Calculated values
total magnetic moment: 0.00 Bohr magnetons per cell
Fermi-level density of states: 2.6 states/eV/cell
symmetry: F-43m, No. 216
distance to the lowest polymorph of the same formula: 2.95 eV/f.u.
crystal system: cubic